[1]
# Dy8Ho6In, optimized geometry, DFT PBE
# N(E_F)   1.316 states/eV per atom
# Calculated total energy   -4.4429 eV/atom
# Energy of formation from the pure elements   36 kJ/mol of formula units
# Total magnetic moment   0.000 μB/atom
# Space-group type   R-3 (148)
data_Dy8Ho6In
_chemical_formula_sum 'Dy8 Ho6 In1'
_symmetry_space_group_name_H-M 'P 1'
_symmetry_Int_Tables_number 1
_symmetry_space_group_name_Hall 'P 1'
_cell_length_a 8.464
_cell_length_b 8.464
_cell_length_c 8.464
_cell_angle_alpha 63.72
_cell_angle_beta 63.72
_cell_angle_gamma 63.72
loop_
_atom_site_label
_atom_site_type_symbol
_atom_site_fract_x
_atom_site_fract_y
_atom_site_fract_z
Dy1 Dy 0.076 0.076 0.076
Dy2 Dy 0.215 0.608 0.249
Dy3 Dy 0.249 0.215 0.608
Dy4 Dy 0.392 0.751 0.785
Dy5 Dy 0.608 0.249 0.215
Dy6 Dy 0.751 0.785 0.392
Dy7 Dy 0.785 0.392 0.751
Dy8 Dy 0.924 0.924 0.924
Ho1 Ho 0.049 0.605 0.733
Ho2 Ho 0.267 0.951 0.395
Ho3 Ho 0.395 0.267 0.951
Ho4 Ho 0.605 0.733 0.049
Ho5 Ho 0.733 0.049 0.605
Ho6 Ho 0.951 0.395 0.267
In1 In 0.500 0.500 0.500

=====

[2]
# ZnGa2Hg2, optimized geometry, DFT PBE
# N(E_F)   0.502 states/eV per atom
# Calculated total energy   -1.4251 eV/atom
# Energy of formation from the pure elements   78 kJ/mol of formula units
# Total magnetic moment   0.000 μB/atom
# Space-group type   P4/mbm (127)
data_ZnGa2Hg2
_chemical_formula_sum 'Zn2 Ga4 Hg4'
_symmetry_space_group_name_H-M 'P 1'
_symmetry_Int_Tables_number 1
_symmetry_space_group_name_Hall 'P 1'
_cell_length_a 7.507
_cell_length_b 7.507
_cell_length_c 4.010
_cell_angle_alpha 90.00
_cell_angle_beta 90.00
_cell_angle_gamma 90.00
loop_
_atom_site_label
_atom_site_type_symbol
_atom_site_fract_x
_atom_site_fract_y
_atom_site_fract_z
Zn1 Zn 0.000 0.000 0.000
Zn2 Zn 0.500 0.500 0.000
Ga1 Ga 0.144 0.356 0.500
Ga2 Ga 0.356 0.856 0.500
Ga3 Ga 0.644 0.144 0.500
Ga4 Ga 0.856 0.644 0.500
Hg1 Hg 0.160 0.660 0.000
Hg2 Hg 0.340 0.160 0.000
Hg3 Hg 0.660 0.840 0.000
Hg4 Hg 0.840 0.340 0.000

=====

[3]
# UGeS, optimized geometry, DFT PBE
# N(E_F)   1.537 states/eV per atom
# Calculated total energy   -7.6547 eV/atom
# Total magnetic moment   0.685 μB/atom
# Formation energy (no corrections)   -0.98 eV per atom
# Space-group type   I4/mmm (139)
data_UGeS
_chemical_formula_sum 'U4 Ge4 S4'
_symmetry_space_group_name_H-M 'P 1'
_symmetry_Int_Tables_number 1
_symmetry_space_group_name_Hall 'P 1'
_cell_length_a 3.832
_cell_length_b 3.832
_cell_length_c 16.151
_cell_angle_alpha 90.00
_cell_angle_beta 90.00
_cell_angle_gamma 90.00
loop_
_atom_site_label
_atom_site_type_symbol
_atom_site_fract_x
_atom_site_fract_y
_atom_site_fract_z
U1 U 0.000 0.000 0.146
U2 U 0.000 0.000 0.854
U3 U 0.500 0.500 0.354
U4 U 0.500 0.500 0.646
Ge1 Ge 0.000 0.500 0.000
Ge2 Ge 0.000 0.500 0.500
Ge3 Ge 0.500 0.000 0.000
Ge4 Ge 0.500 0.000 0.500
S1 S 0.000 0.000 0.318
S2 S 0.000 0.000 0.682
S3 S 0.500 0.500 0.182
S4 S 0.500 0.500 0.818

=====

[4]
# K3ScSe, optimized geometry, DFT PBE
# N(E_F)   0.637 states/eV per atom
# Calculated total energy   -1.9251 eV/atom
# Total magnetic moment   0.400 μB/atom
# Formation energy (no corrections)   0.70 eV per atom
# Space-group type   Pm-3m (221)
data_K3ScSe
_chemical_formula_sum 'K3 Sc1 Se1'
_symmetry_space_group_name_H-M 'P 1'
_symmetry_Int_Tables_number 1
_symmetry_space_group_name_Hall 'P 1'
_cell_length_a 6.723
_cell_length_b 6.723
_cell_length_c 6.723
_cell_angle_alpha 90.00
_cell_angle_beta 90.00
_cell_angle_gamma 90.00
loop_
_atom_site_label
_atom_site_type_symbol
_atom_site_fract_x
_atom_site_fract_y
_atom_site_fract_z
K1 K 0.000 0.000 0.500
K2 K 0.000 0.500 0.000
K3 K 0.500 0.000 0.000
Sc1 Sc 0.000 0.000 0.000
Se1 Se 0.500 0.500 0.500

=====

[5]
# Nd2BiRu, optimized geometry, DFT PBE
# N(E_F)   0.815 states/eV per atom
# Calculated total energy   -5.9030 eV/atom
# Energy of formation from the pure elements   -89 kJ/mol of formula units
# Total magnetic moment   0.000 μB/atom
# Space-group type   R-3m (166)
data_Nd2BiRu
_chemical_formula_sum 'Nd6 Bi3 Ru3'
_symmetry_space_group_name_H-M 'P 1'
_symmetry_Int_Tables_number 1
_symmetry_space_group_name_Hall 'P 1'
_cell_length_a 3.995
_cell_length_b 3.995
_cell_length_c 25.592
_cell_angle_alpha 90.00
_cell_angle_beta 90.00
_cell_angle_gamma 120.00
loop_
_atom_site_label
_atom_site_type_symbol
_atom_site_fract_x
_atom_site_fract_y
_atom_site_fract_z
Nd1 Nd 0.000 0.000 0.232
Nd2 Nd 0.000 0.000 0.768
Nd3 Nd 0.333 0.667 0.435
Nd4 Nd 0.333 0.667 0.899
Nd5 Nd 0.667 0.333 0.101
Nd6 Nd 0.667 0.333 0.565
Bi1 Bi 0.000 0.000 0.000
Bi2 Bi 0.333 0.667 0.667
Bi3 Bi 0.667 0.333 0.333
Ru1 Ru 0.000 0.000 0.500
Ru2 Ru 0.333 0.667 0.167
Ru3 Ru 0.667 0.333 0.833

=====

[6]
# Re2RuPb, optimized geometry, DFT PBE
# N(E_F)   1.047 states/eV per atom
# Calculated total energy   -8.6806 eV/atom
# Energy of formation from the pure elements   305 kJ/mol of formula units
# Total magnetic moment   0.000 μB/atom
# Space-group type   I4/mmm (139)
data_Re2RuPb
_chemical_formula_sum 'Re4 Ru2 Pb2'
_symmetry_space_group_name_H-M 'P 1'
_symmetry_Int_Tables_number 1
_symmetry_space_group_name_Hall 'P 1'
_cell_length_a 3.884
_cell_length_b 3.884
_cell_length_c 8.749
_cell_angle_alpha 90.00
_cell_angle_beta 90.00
_cell_angle_gamma 90.00
loop_
_atom_site_label
_atom_site_type_symbol
_atom_site_fract_x
_atom_site_fract_y
_atom_site_fract_z
Re1 Re 0.000 0.500 0.250
Re2 Re 0.000 0.500 0.750
Re3 Re 0.500 0.000 0.250
Re4 Re 0.500 0.000 0.750
Ru1 Ru 0.000 0.000 0.000
Ru2 Ru 0.500 0.500 0.500
Pb1 Pb 0.000 0.000 0.500
Pb2 Pb 0.500 0.500 0.000

=====

[7]
# YH3Rh, optimized geometry, DFT PBE
# N(E_F)   0.344 states/eV per atom
# Calculated total energy   -4.9325 eV/atom
# Total magnetic moment   0.000 μB/atom
# Space-group type   R3m (160)
data_YH3Rh
_chemical_formula_sum 'Y3 H9 Rh3'
_symmetry_space_group_name_H-M 'P 1'
_symmetry_Int_Tables_number 1
_symmetry_space_group_name_Hall 'P 1'
_cell_length_a 5.922
_cell_length_b 5.922
_cell_length_c 5.718
_cell_angle_alpha 90.00
_cell_angle_beta 90.00
_cell_angle_gamma 120.00
loop_
_atom_site_label
_atom_site_type_symbol
_atom_site_fract_x
_atom_site_fract_y
_atom_site_fract_z
Y1 Y 0.000 0.000 0.000
Y2 Y 0.333 0.667 0.667
Y3 Y 0.667 0.333 0.333
H1 H 0.206 0.412 0.991
H2 H 0.206 0.794 0.991
H3 H 0.255 0.128 0.324
H4 H 0.539 0.078 0.658
H5 H 0.539 0.461 0.658
H6 H 0.588 0.794 0.991
H7 H 0.872 0.128 0.324
H8 H 0.872 0.745 0.324
H9 H 0.922 0.461 0.658
Rh1 Rh 0.000 0.000 0.501
Rh2 Rh 0.333 0.667 0.167
Rh3 Rh 0.667 0.333 0.834

=====

[8]
# ZrTlGaBr6, optimized geometry, DFT PBE
# N(E_F)   0.000 states/eV per atom
# Calculated total energy   -3.7638 eV/atom
# Total magnetic moment   0.000 μB/atom
# Formation energy (no corrections)   -1.10 eV per atom
# Space-group type   P-31c (163)
data_ZrTlGaBr6
_chemical_formula_sum 'Zr2 Tl2 Ga2 Br12'
_symmetry_space_group_name_H-M 'P 1'
_symmetry_Int_Tables_number 1
_symmetry_space_group_name_Hall 'P 1'
_cell_length_a 7.589
_cell_length_b 7.589
_cell_length_c 13.723
_cell_angle_alpha 90.00
_cell_angle_beta 90.00
_cell_angle_gamma 120.00
loop_
_atom_site_label
_atom_site_type_symbol
_atom_site_fract_x
_atom_site_fract_y
_atom_site_fract_z
Zr1 Zr 0.333 0.667 0.250
Zr2 Zr 0.667 0.333 0.750
Tl1 Tl 0.000 0.000 0.000
Tl2 Tl 0.000 0.000 0.500
Ga1 Ga 0.333 0.667 0.750
Ga2 Ga 0.667 0.333 0.250
Br1 Br 0.041 0.386 0.138
Br2 Br 0.041 0.655 0.362
Br3 Br 0.345 0.386 0.362
Br4 Br 0.345 0.959 0.138
Br5 Br 0.386 0.041 0.638
Br6 Br 0.386 0.345 0.862
Br7 Br 0.614 0.655 0.138
Br8 Br 0.614 0.959 0.362
Br9 Br 0.655 0.041 0.862
Br10 Br 0.655 0.614 0.638
Br11 Br 0.959 0.345 0.638
Br12 Br 0.959 0.614 0.862